A plane-wave DFT calculation with PBE+U was carried out for an optimized crystal structure of RbCeVO4.

a = 6.0617 Å, b = 6.0626 Å, c = 7.7981 Å
α = 90.00°, β = 108.95°, γ = 90.00°
Element x y z (fractional)
Rb1 0.6804 0.7500 0.9291
Rb2 0.3196 0.2500 0.0709
Ce1 0.7976 0.7500 0.4591
Ce2 0.2024 0.2500 0.5409
V1 0.2558 0.7500 0.3353
V2 0.7442 0.2500 0.6647
O1 0.9579 0.4768 0.6717
O2 0.0421 0.9768 0.3283
O3 0.0421 0.5232 0.3283
O4 0.9579 0.0232 0.6717
O5 0.4603 0.7500 0.2050
O6 0.5397 0.2500 0.7950
O7 0.4809 0.7500 0.5593
O8 0.5191 0.2500 0.4407

Values from the calculation:
D(E_F): 0.825 states/eV per atom
size of the total moment: 2.0 μB per formula unit
ρ: 4.2 Mg/m³
raw total energy: -7.278 eV per atom